Entry 1:
Compound: K3I2Cl8
Source: Alexandria
Functional: PBE
Structure: relaxed

Cell and atoms, written as CIF:
```
data_K3I2Cl8
_cell_length_a 7.1342
_cell_length_b 7.1342
_cell_length_c 30.5862
_cell_angle_alpha 90.00
_cell_angle_beta 90.00
_cell_angle_gamma 120.00
_symmetry_space_group_name_H-M 'R -3 m'
_symmetry_Int_Tables_number 166
_symmetry_space_group_name_Hall '-R 3 2"'
loop_
_atom_site_label
_atom_site_fract_x
_atom_site_fract_y
_atom_site_fract_z
K1 0.0000 0.0000 0.0000
K2 0.0000 0.0000 0.1973
I1 0.0000 0.0000 0.3850
Cl1 0.0000 0.0000 0.3014
Cl2 0.0139 0.5069 0.7750
```

Computed properties:
Total magnetic moment: 3.1 μB/f.u.
Formation energy from raw total energies: -705.9 meV per atom
Density of states at the Fermi level: 6.6 states/eV/f.u.
Calculated total energy: -2.33 eV/atom

Entry 2:
Compound: CaOsBr2
Source: Alexandria
Functional: PBE
Structure: relaxed

Cell and atoms, written as CIF:
```
data_CaOsBr2
_cell_length_a 7.447
_cell_length_b 7.447
_cell_length_c 7.447
_cell_angle_alpha 90.00
_cell_angle_beta 90.00
_cell_angle_gamma 90.00
_symmetry_space_group_name_H-M 'F -4 3 m'
_symmetry_Int_Tables_number 216
_symmetry_space_group_name_Hall 'F -4 2 3'
loop_
_atom_site_label
_atom_site_fract_x
_atom_site_fract_y
_atom_site_fract_z
Ca1 0.000 0.000 0.000
Os1 0.250 0.250 0.250
Br1 0.000 0.000 0.500
Br2 0.250 0.250 0.750
```

Computed properties:
Total magnetic moment: 4.0 μB/f.u.
Formation energy from raw total energies: 643.6 meV per atom
Density of states at the Fermi level: 5.2 states/eV/f.u.
Calculated total energy: -3.50 eV/atom
Excess energy over the best structure of this formula in the dataset: 0.874 eV/atom

Entry 3:
Compound: RbTlNiPd2
Source: Alexandria
Functional: PBE
Structure: relaxed

Cell and atoms, written as CIF:
```
data_RbTlNiPd2
_cell_length_a 5.259
_cell_length_b 5.259
_cell_length_c 4.961
_cell_angle_alpha 90.00
_cell_angle_beta 90.00
_cell_angle_gamma 90.00
_symmetry_space_group_name_H-M 'P 4/m m m'
_symmetry_Int_Tables_number 123
_symmetry_space_group_name_Hall '-P 4 2'
loop_
_atom_site_label
_atom_site_fract_x
_atom_site_fract_y
_atom_site_fract_z
Rb1 0.000 0.000 0.000
Tl1 0.500 0.500 0.500
Ni1 0.500 0.500 0.000
Pd1 0.000 0.500 0.500
```

Computed properties:
Energy of formation from the pure elements: 13.98 kcal/mol of atoms
Total magnetic moment: 0.0 μB/f.u.
Density of states at the Fermi level: 2.1 states/eV/f.u.
Calculated total energy: -3.29 eV/atom

Entry 4:
Compound: Ce2ErPu
Source: Alexandria
Functional: PBE
Structure: relaxed

Cell and atoms, written as CIF:
```
data_Ce2ErPu
_cell_length_a 7.717
_cell_length_b 7.717
_cell_length_c 7.717
_cell_angle_alpha 90.00
_cell_angle_beta 90.00
_cell_angle_gamma 90.00
_symmetry_space_group_name_H-M 'F m -3 m'
_symmetry_Int_Tables_number 225
_symmetry_space_group_name_Hall '-F 4 2 3'
loop_
_atom_site_label
_atom_site_fract_x
_atom_site_fract_y
_atom_site_fract_z
Ce1 0.250 0.250 0.250
Er1 0.000 0.000 0.000
Pu1 0.000 0.000 0.500
```

Computed properties:
Energy of formation from the pure elements: 4.40 kcal/mol of atoms
Total magnetic moment: 8.8 μB/f.u.
Density of states at the Fermi level: 10.2 states/eV/f.u.
Calculated total energy: -7.50 eV/atom
Excess energy over the best structure of this formula in the dataset: 0.084 eV/atom

Entry 5:
Compound: CsTl6Pd6
Source: Alexandria
Functional: PBE
Structure: relaxed

Cell and atoms, written as CIF:
```
data_CsTl6Pd6
_cell_length_a 5.810
_cell_length_b 9.701
_cell_length_c 10.128
_cell_angle_alpha 90.00
_cell_angle_beta 90.00
_cell_angle_gamma 90.00
_symmetry_space_group_name_H-M 'I m m m'
_symmetry_Int_Tables_number 71
_symmetry_space_group_name_Hall '-I 2 2'
loop_
_atom_site_label
_atom_site_fract_x
_atom_site_fract_y
_atom_site_fract_z
Cs1 0.000 0.000 0.000
Tl1 0.000 0.000 0.344
Tl2 0.000 0.337 0.000
Tl3 0.000 0.500 0.319
Pd1 0.000 0.257 0.500
Pd2 0.250 0.250 0.250
```

Computed properties:
Energy of formation from the pure elements: -2.79 kcal/mol of atoms
Total magnetic moment: 0.0 μB/f.u.
Density of states at the Fermi level: 6.7 states/eV/f.u.
Calculated total energy: -3.68 eV/atom

Entry 6:
Compound: CaLaTc2
Source: Alexandria
Functional: PBE
Structure: relaxed

Cell and atoms, written as CIF:
```
data_CaLaTc2
_cell_length_a 3.3343
_cell_length_b 3.3343
_cell_length_c 26.6832
_cell_angle_alpha 90.00
_cell_angle_beta 90.00
_cell_angle_gamma 120.00
_symmetry_space_group_name_H-M 'R -3 m'
_symmetry_Int_Tables_number 166
_symmetry_space_group_name_Hall '-R 3 2"'
loop_
_atom_site_label
_atom_site_fract_x
_atom_site_fract_y
_atom_site_fract_z
Ca1 0.0000 0.0000 0.0000
La1 0.0000 0.0000 0.5000
Tc1 0.0000 0.0000 0.2430
```

Computed properties:
Energy of formation from the pure elements: 17.11 kcal/mol of atoms
Total magnetic moment: 0.0 μB/f.u.
Density of states at the Fermi level: 4.9 states/eV/f.u.
Calculated total energy: -6.17 eV/atom
Excess energy over the best structure of this formula in the dataset: 0.562 eV/atom

Entry 7:
Compound: KBe2P
Source: Alexandria
Functional: PBE
Structure: relaxed

Cell and atoms, written as CIF:
```
data_KBe2P
_cell_length_a 2.842
_cell_length_b 3.641
_cell_length_c 7.253
_cell_angle_alpha 90.00
_cell_angle_beta 90.19
_cell_angle_gamma 90.00
_symmetry_space_group_name_H-M 'P 1 2/m 1'
_symmetry_Int_Tables_number 10
_symmetry_space_group_name_Hall '-P 2y'
loop_
_atom_site_label
_atom_site_fract_x
_atom_site_fract_y
_atom_site_fract_z
K1 0.000 0.000 0.000
Be1 0.497 0.500 0.657
P1 0.500 0.000 0.500
```

Computed properties:
Energy of formation from the pure elements: 12.16 kcal/mol of atoms
Total magnetic moment: 0.0 μB/f.u.
Density of states at the Fermi level: 1.6 states/eV/f.u.
Calculated total energy: -2.96 eV/atom

Entry 8:
Compound: Ho2Ag2RuO6
Source: Alexandria
Functional: PBE
Structure: relaxed

Cell and atoms, written as CIF:
```
data_Ho2Ag2RuO6
_cell_length_a 5.760
_cell_length_b 10.125
_cell_length_c 6.539
_cell_angle_alpha 90.00
_cell_angle_beta 103.95
_cell_angle_gamma 90.00
_symmetry_space_group_name_H-M 'C 1 2/m 1'
_symmetry_Int_Tables_number 12
_symmetry_space_group_name_Hall '-C 2y'
loop_
_atom_site_label
_atom_site_fract_x
_atom_site_fract_y
_atom_site_fract_z
Ho1 0.000 0.164 0.000
Ag1 0.000 0.349 0.500
Ru1 0.000 0.500 0.000
O1 0.105 0.343 0.830
O2 0.160 0.000 0.849
```

Computed properties:
Total magnetic moment: 2.0 μB/f.u.
Formation energy from raw total energies: -1816.0 meV per atom
Density of states at the Fermi level: 0.4 states/eV/f.u.
Calculated total energy: -6.71 eV/atom

Entry 9:
Compound: Na2PmBiO4
Source: Alexandria
Functional: PBE
Structure: relaxed

Cell and atoms, written as CIF:
```
data_Na2PmBiO4
_cell_length_a 6.027
_cell_length_b 3.549
_cell_length_c 6.140
_cell_angle_alpha 90.00
_cell_angle_beta 109.68
_cell_angle_gamma 90.00
_symmetry_space_group_name_H-M 'P 1 2/m 1'
_symmetry_Int_Tables_number 10
_symmetry_space_group_name_Hall '-P 2y'
loop_
_atom_site_label
_atom_site_fract_x
_atom_site_fract_y
_atom_site_fract_z
Na1 0.000 0.000 0.000
Na2 0.000 0.500 0.500
Pm1 0.500 0.000 0.500
Bi1 0.500 0.500 0.000
O1 0.273 0.000 0.752
O2 0.281 0.500 0.265
```

Computed properties:
Total magnetic moment: 0.0 μB/f.u.
Formation energy from raw total energies: -1998.4 meV per atom
Density of states at the Fermi level: 0.0 states/eV/f.u.
Calculated total energy: -5.89 eV/atom

Entry 10:
Compound: Sm5Y5Tm2
Source: Alexandria
Functional: PBE
Structure: relaxed

Cell and atoms, written as CIF:
```
data_Sm5Y5Tm2
_cell_length_a 5.185
_cell_length_b 6.053
_cell_length_c 14.452
_cell_angle_alpha 78.02
_cell_angle_beta 89.97
_cell_angle_gamma 64.66
_symmetry_space_group_name_H-M 'P -1'
_symmetry_Int_Tables_number 2
_symmetry_space_group_name_Hall '-P 1'
loop_
_atom_site_label
_atom_site_fract_x
_atom_site_fract_y
_atom_site_fract_z
Sm1 0.000 0.000 0.000
Sm2 0.223 0.553 0.578
Sm3 0.338 0.323 0.830
Y1 0.042 0.916 0.304
Y2 0.327 0.345 0.068
Y3 0.500 0.000 0.500
Tm1 0.343 0.314 0.289
```

Computed properties:
Energy of formation from the pure elements: 3.82 kcal/mol of atoms
Total magnetic moment: 0.0 μB/f.u.
Density of states at the Fermi level: 17.8 states/eV/f.u.
Calculated total energy: -5.24 eV/atom
Excess energy over the best structure of this formula in the dataset: 0.146 eV/atom